[1]
Entry from Alexandria via LeMat-Bulk: crystalline CoGePb2I at its relaxed geometry (PBE).

The structure in extended XYZ format:
```
5
Lattice="6.131 0.000 0.000 0.000 6.131 0.000 0.000 0.000 4.534" Properties=species:S:1:pos:R:3 pbc="T T T"
Co 0.000 0.000 0.000
Ge 3.066 3.066 0.000
Pb 0.000 3.066 2.267
Pb 3.066 0.000 2.267
I 0.000 0.000 2.267
```

**VASP energy**: -15.54 eV/cell
**Formation energy (no corrections)**: 5.2 eV per formula unit
**M_tot**: 1.13 μB per formula unit

[2]
Entry from Alexandria via LeMat-Bulk: crystalline Pm8CoGe3I4 at its relaxed geometry (PBE).

The structure in extended XYZ format:
```
16
Lattice="4.302 2.484 7.659 -4.302 2.484 7.659 0.000 -4.967 7.659" Properties=species:S:1:pos:R:3 pbc="T T T"
Pm 0.000 0.000 5.374
Pm -2.018 -1.165 12.950
Pm 0.000 -2.330 10.027
Pm -2.018 1.165 10.027
Pm 2.018 -1.165 12.950
Pm 0.000 2.330 12.950
Pm 2.018 1.165 10.027
Pm 0.000 0.000 17.603
Co 0.000 0.000 11.488
Ge -4.302 0.000 11.488
Ge -2.151 1.242 3.829
Ge 2.151 1.242 3.829
I 0.000 0.000 0.000
I -2.151 -1.242 7.659
I -2.151 1.242 15.318
I 0.000 2.484 7.659
```

**VASP energy**: -79.31 eV/cell
**Formation energy (no corrections)**: -14.1 eV per formula unit
**M_tot**: 0.00 μB per formula unit

[3]
Entry from Alexandria via LeMat-Bulk: crystalline Pr6Co2GeI3 at its relaxed geometry (PBE).

The structure in extended XYZ format:
```
12
Lattice="10.039 -2.102 0.000 10.039 2.102 0.000 -3.445 0.000 8.814" Properties=species:S:1:pos:R:3 pbc="T T T"
Pr -0.299 0.000 2.096
Pr 4.820 0.000 3.936
Pr 3.839 0.000 7.598
Pr 12.793 0.000 1.216
Pr 11.812 0.000 4.878
Pr 16.931 0.000 6.718
Co 2.240 0.000 3.025
Co 14.392 0.000 5.789
Ge 10.039 0.000 0.000
I 0.334 0.000 7.415
I 8.316 0.000 4.407
I 16.298 0.000 1.399
```

**VASP energy**: -60.67 eV/cell
**Formation energy (no corrections)**: -8.5 eV per formula unit
**M_tot**: 0.00 μB per formula unit

[4]
Entry from Alexandria via LeMat-Bulk: crystalline CoGe2SI at its relaxed geometry (PBE).

The structure in extended XYZ format:
```
5
Lattice="5.340 0.000 0.000 0.000 5.340 0.000 0.000 0.000 4.056" Properties=species:S:1:pos:R:3 pbc="T T T"
Co 0.000 0.000 0.000
Ge 0.000 2.670 2.028
Ge 2.670 0.000 2.028
S 0.000 0.000 2.028
I 2.670 2.670 0.000
```

**VASP energy**: -19.82 eV/cell
**Formation energy (no corrections)**: 2.2 eV per formula unit
**M_tot**: 0.19 μB per formula unit

[5]
Entry from Alexandria via LeMat-Bulk: crystalline Sm8CoGe3I4 at its relaxed geometry (PBE).

The structure in extended XYZ format:
```
16
Lattice="7.419 -4.282 0.000 7.419 4.282 0.000 -4.947 0.000 7.632" Properties=species:S:1:pos:R:3 pbc="T T T"
Sm 3.789 2.280 5.263
Sm -0.150 0.000 5.271
Sm 6.102 2.280 2.369
Sm 2.472 0.000 2.287
Sm 7.419 0.000 5.344
Sm 3.789 -2.280 5.263
Sm 10.041 0.000 2.361
Sm 6.102 -2.280 2.369
Co -2.474 0.000 3.816
Ge 1.236 2.141 3.816
Ge 1.236 -2.141 3.816
Ge 4.945 0.000 3.816
I 0.000 0.000 0.000
I 3.709 2.141 0.000
I 3.709 -2.141 0.000
I 7.419 0.000 0.000
```

**VASP energy**: -78.93 eV/cell
**Formation energy (no corrections)**: -14.0 eV per formula unit
**M_tot**: 0.00 μB per formula unit

[6]
Entry from Alexandria via LeMat-Bulk: crystalline CoGeTe2I at its relaxed geometry (PBE).

The structure in extended XYZ format:
```
5
Lattice="5.003 0.000 0.000 0.000 5.003 0.000 0.000 0.000 5.337" Properties=species:S:1:pos:R:3 pbc="T T T"
Co 0.000 0.000 0.000
Ge 2.502 2.502 2.669
Te 0.000 2.502 0.000
Te 2.502 0.000 0.000
I 0.000 0.000 2.669
```

**Distance to the lowest polymorph of the same formula**: 0.0000 eV per atom
**VASP energy**: -17.30 eV/cell
**Formation energy (no corrections)**: 2.3 eV per formula unit
**M_tot**: 0.77 μB per formula unit

Question: What is the M_tot in the third record?
Answer: 0.00 μB per formula unit

Question: Number 5 is which compound?
Answer: Sm8CoGe3I4

Question: The highest VASP energy belongs to which entry?
Answer: CoGePb2I